No. 1
Ac12RuPt5 GGA-PBE relaxed; space-group type = C2/m; DFT formation energy = -0.71 eV/atom
1.0
3.8325 -6.6381 0.0000
3.8325 6.6381 0.0000
-2.5197 0.0000 13.8436
Ac Ru Pt
12 1 5
direct
0.0394 0.7057 0.6198 Ac
0.1390 0.4621 0.8852 Ac
0.2147 0.2147 0.1149 Ac
0.2943 0.9606 0.3802 Ac
0.3717 0.3717 0.6186 Ac
0.4621 0.1390 0.8852 Ac
0.5379 0.8610 0.1148 Ac
0.6283 0.6283 0.3814 Ac
0.7057 0.0394 0.6198 Ac
0.7853 0.7853 0.8851 Ac
0.8610 0.5379 0.1148 Ac
0.9606 0.2943 0.3802 Ac
0.5000 0.5000 0.0000 Ru
0.0000 0.0000 0.5000 Pt
0.1666 0.8334 0.0000 Pt
0.3329 0.6671 0.5000 Pt
0.6671 0.3329 0.5000 Pt
0.8334 0.1666 0.0000 Pt

No. 2
ZrOsSe2 GGA-PBE relaxed; E_form (uncorrected) = -134 kJ/mol of formula units; energy relative to the lowest polymorph listed for this composition = 182.9 meV/atom; space-group type = Amm2
1.0
4.1732 0.0000 0.0000
0.0000 3.1948 0.0000
0.0000 0.0000 13.4904
Zr Os Se
2 2 4
direct
0.0000 0.0000 0.0000 Zr
0.0000 0.5000 0.5000 Zr
0.5000 0.0000 0.5798 Os
0.5000 0.5000 0.0798 Os
0.0000 0.0000 0.6799 Se
0.0000 0.5000 0.1799 Se
0.5000 0.0000 0.3996 Se
0.5000 0.5000 0.8996 Se